{
  "formula": "Be3RuW",
  "functional": "PBE",
  "state": "relaxed",
  "cell": [[3.980, 0.000, 0.000], [0.000, 3.980, 0.000], [0.000, 0.000, 3.980]],
  "species": ["Be", "Be", "Ru", "Be", "W"],
  "frac_coords": [[0.000, 0.500, 0.000], [0.000, 0.000, 0.500], [0.000, 0.000, 0.000], [0.500, 0.000, 0.000], [0.500, 0.500, 0.500]],
  "delta_e_f_ev_per_atom": 0.88,
  "vol_a3_per_atom": 12.611,
  "space_group": "Pm-3m (221)",
  "e_tot_ev_per_atom": -5.803
}